(1)
The following is a DFT calculation (PBEsol) of a relaxed structure of InPt3.

```
4
Lattice="4.952 0.000 0.000 0.000 4.952 0.000 0.000 0.000 4.952" Properties=species:S:1:pos:R:3 pbc="T T T"
Pt 0.000 2.476 0.000
Pt 2.476 0.000 0.000
In 0.000 0.000 0.000
Pt 0.000 0.000 2.476
```

Computed properties:
- DOS at the Fermi energy: 4.48 states/eV per cell
- E_form: 1.8648 eV per atom
- Volume: 121.4 Å³ per cell

---

(2)
The following is a DFT calculation (PBEsol) of a relaxed structure of In3Pt.

```
16
Lattice="5.518 0.000 0.000 0.000 7.358 0.000 0.000 0.000 8.303" Properties=species:S:1:pos:R:3 pbc="T T T"
Pt 2.445 6.488 2.076
In 4.737 2.360 7.877
In 1.978 1.319 3.726
In 3.540 6.039 4.577
Pt 3.074 0.870 6.227
In 2.294 3.617 6.227
In 1.978 1.319 0.426
Pt 5.204 4.549 6.227
In 3.540 6.039 7.877
Pt 0.315 2.809 2.076
In 0.465 7.296 6.227
In 4.737 2.360 4.577
In 0.781 4.998 0.426
In 5.053 0.062 2.076
In 3.225 3.740 2.076
In 0.781 4.998 3.726
```

Computed properties:
- DOS at the Fermi energy: 4.65 states/eV per cell
- E_form: -0.3205 eV per atom
- Volume: 337.1 Å³ per cell

---

(3)
The following is a DFT calculation (PBEsol) of a relaxed structure of InPt2.

```
24
Lattice="4.071 0.000 0.000 0.000 5.661 0.031 0.000 -0.817 16.980" Properties=species:S:1:pos:R:3 pbc="T T T"
In 2.036 1.071 9.786
In 2.036 4.231 1.445
Pt 0.000 2.833 2.816
Pt 2.036 4.202 4.343
Pt 2.036 0.642 12.667
In 2.036 3.394 12.940
In 2.036 0.613 15.565
In 2.036 3.773 7.224
Pt 0.000 0.000 0.000
Pt 0.000 2.830 0.015
In 0.000 -0.216 5.621
Pt 0.000 2.612 5.669
Pt 2.036 3.459 15.650
In 0.000 5.060 11.389
Pt 0.000 2.011 14.194
Pt 0.000 2.232 11.341
Pt 2.036 0.990 6.972
Pt 2.036 3.854 10.038
In 2.036 1.451 4.071
Pt 2.036 1.385 1.361
Pt 0.000 -0.408 8.490
Pt 0.000 -0.025 2.840
Pt 0.000 4.869 14.170
Pt 0.000 2.422 8.505
```

Computed properties:
- DOS at the Fermi energy: 8.44 states/eV per cell
- E_form: -0.4161 eV per atom
- Volume: 391.4 Å³ per cell